First-principles (GGA-PBE) data for a geometry-optimized PuBeZnO6 structure, as listed in Alexandria.

```
PuBeZnO6
1.0
4.9897 0.0000 0.0000
-2.4949 4.3212 0.0000
0.0000 0.0000 9.0377
Pu Be Zn O
2 2 2 12
Cartesian
0.0000 2.8808 2.2594 Pu
2.4949 1.4404 6.7783 Pu
2.4949 1.4404 2.2594 Be
0.0000 2.8808 6.7783 Be
0.0000 0.0000 0.0000 Zn
0.0000 0.0000 4.5189 Zn
1.6892 2.7677 1.2309 O
4.0472 1.4745 1.2309 O
-0.7466 4.2422 5.7497 O
-1.5523 2.8467 7.8069 O
0.9425 1.4745 3.2880 O
3.3005 2.7677 3.2880 O
0.7466 4.2422 7.8069 O
3.2415 0.0790 3.2880 O
-0.8057 1.5535 5.7497 O
1.7482 0.0790 1.2309 O
1.5523 2.8467 5.7497 O
0.8057 1.5535 7.8069 O
```

Summary:
Final energy ... -7.223 eV per atom
SG ... P-31c (163)
Raw formation energy ... -1770 meV/atom